No. 1
10
Lattice="-4.6539 -4.3634 3.1409 1.5398 -5.0620 -4.7506 2.9314 -1.3823 2.4231" Properties=species:S:1:pos:R:3 comment="Nb2ZnSn2 (PBE, relaxed)" final_energy_ev_per_cell=-58.5 formation_enthalpy_0k_ev_per_atom=0.03 total_magnetization_mub_per_cell=0.00 pbc="T T T"
Sn -1.9341 -6.1199 2.2274
Sn 0.1019 -2.9815 1.5549
Sn -0.2845 -7.8262 -0.7415
Sn 1.7514 -4.6878 -1.4141
Nb -0.1496 -2.4273 -1.2038
Nb -0.3248 -5.8445 -2.9412
Nb -2.7892 -3.5809 1.3315
Nb -2.9645 -6.9981 -0.4059
Zn -1.5570 -4.7127 -0.8049
Zn 0.0000 0.0000 0.0000

***

No. 2
8
Lattice="3.9614 0.0000 0.0000 0.0000 3.9614 0.0000 1.9807 1.9807 10.1440" Properties=species:S:1:pos:R:3 comment="Nb2ZnSn (PBE, relaxed)" final_energy_ev_per_cell=-48.1 formation_enthalpy_0k_ev_per_atom=0.34 total_magnetization_mub_per_cell=0.00 pbc="T T T"
Zn 1.9807 3.9614 5.0720
Zn 1.9807 1.9807 0.0000
Nb 2.9711 2.9792 7.6080
Nb 2.9629 0.9904 2.5360
Nb 4.9518 4.9436 7.6080
Nb 0.9985 2.9711 2.5360
Sn 0.0000 0.0000 0.0000
Sn 3.9614 1.9807 5.0720